The following is a PBE calculation of a geometry-optimized MgZr2Sc structure, from Alexandria.

a = 10.982 Å, b = 3.123 Å, c = 5.447 Å
α = 90.00°, β = 99.13°, γ = 90.00°
Space group C2/m (No. 12)
Unique sites:
Mg: 0.000 0.000 0.000 (multiplicity 2)
Zr: 0.242 0.500 0.253 (multiplicity 4)
Sc: 0.000 0.500 0.500 (multiplicity 2)

Results
density of states at the Fermi level	1.152	states/eV/atom
uncorrected energy	-6.205	eV per atom

=====

The following is a PBE calculation of a geometry-optimized Mg5ZrSc2 structure, from Alexandria.

a = 4.957 Å, b = 4.957 Å, c = 14.701 Å
α = 90.00°, β = 90.00°, γ = 90.00°
Space group I4/mmm (No. 139)
Unique sites:
Mg: 0.000 0.000 0.000 (multiplicity 2)
Mg: 0.000 0.500 0.123 (multiplicity 8)
Zr: 0.000 0.000 0.500 (multiplicity 2)
Sc: 0.000 0.000 0.250 (multiplicity 4)

Results
density of states at the Fermi level	0.796	states/eV/atom
uncorrected energy	-3.631	eV per atom

=====

The following is a PBE calculation of a geometry-optimized MgZr2Sc structure, from Alexandria.

a = 7.167 Å, b = 7.167 Å, c = 7.167 Å
α = 90.00°, β = 90.00°, γ = 90.00°
Space group F-43m (No. 216)
Unique sites:
Mg: 0.000 0.000 0.000 (multiplicity 4)
Zr: 0.000 0.000 0.500 (multiplicity 4)
Zr: 0.250 0.250 0.750 (multiplicity 4)
Sc: 0.250 0.250 0.250 (multiplicity 4)

Results
density of states at the Fermi level	1.293	states/eV/atom
uncorrected energy	-6.120	eV per atom

=====

The following is a PBE calculation of a geometry-optimized Mg3Zr12Sc structure, from Alexandria.

a = 5.315 Å, b = 5.315 Å, c = 12.942 Å
α = 90.00°, β = 90.00°, γ = 90.00°
Space group P4/mmm (No. 123)
Unique sites:
Mg: 0.000 0.000 0.000 (multiplicity 1)
Mg: 0.000 0.000 0.250 (multiplicity 2)
Zr: 0.000 0.500 0.124 (multiplicity 4)
Zr: 0.000 0.500 0.374 (multiplicity 4)
Zr: 0.500 0.500 0.000 (multiplicity 1)
Zr: 0.500 0.500 0.250 (multiplicity 2)
Zr: 0.500 0.500 0.500 (multiplicity 1)
Sc: 0.000 0.000 0.500 (multiplicity 1)

Results
density of states at the Fermi level	1.342	states/eV/atom
uncorrected energy	-7.002	eV per atom

=====

The following is a PBE calculation of a geometry-optimized Mg2ZrSc structure, from Alexandria.

a = 3.160 Å, b = 4.495 Å, c = 6.392 Å
α = 90.00°, β = 90.16°, γ = 90.00°
Space group P2/m (No. 10)
Unique sites:
Mg: 0.002 0.000 0.253 (multiplicity 2)
Zr: 0.500 0.500 0.500 (multiplicity 1)
Sc: 0.500 0.500 0.000 (multiplicity 1)

Results
density of states at the Fermi level	1.046	states/eV/atom
uncorrected energy	-4.482	eV per atom

=====

The following is a PBE calculation of a geometry-optimized MgZr2Sc structure, from Alexandria.

a = 10.648 Å, b = 3.219 Å, c = 5.548 Å
α = 90.00°, β = 103.16°, γ = 90.00°
Space group Cm (No. 8)
Unique sites:
Mg: 0.000 0.000 0.000 (multiplicity 2)
Zr: 0.008 0.500 0.515 (multiplicity 2)
Zr: 0.258 0.000 0.704 (multiplicity 2)
Sc: 0.250 0.500 0.221 (multiplicity 2)

Results
density of states at the Fermi level	1.304	states/eV/atom
uncorrected energy	-6.210	eV per atom

=====

The following is a PBE calculation of a geometry-optimized Mg2ZrSc structure, from Alexandria.

a = 4.555 Å, b = 4.555 Å, c = 8.787 Å
α = 90.00°, β = 90.00°, γ = 90.00°
Space group I4/mmm (No. 139)
Unique sites:
Mg: 0.000 0.500 0.250 (multiplicity 4)
Zr: 0.000 0.000 0.000 (multiplicity 2)
Sc: 0.000 0.000 0.500 (multiplicity 2)

Results
density of states at the Fermi level	1.031	states/eV/atom
uncorrected energy	-4.460	eV per atom

=====

The following is a PBE calculation of a geometry-optimized Mg2Zr3Sc2 structure, from Alexandria.

a = 3.200 Å, b = 32.809 Å, c = 3.182 Å
α = 90.00°, β = 90.00°, γ = 90.00°
Space group Cmmm (No. 65)
Unique sites:
Mg: 0.000 0.209 0.000 (multiplicity 4)
Zr: 0.000 0.070 0.000 (multiplicity 4)
Zr: 0.000 0.500 0.500 (multiplicity 2)
Sc: 0.000 0.362 0.500 (multiplicity 4)

Results
density of states at the Fermi level	1.161	states/eV/atom
uncorrected energy	-5.906	eV per atom

=====

The following is a PBE calculation of a geometry-optimized MgZr2Sc structure, from Alexandria.

a = 6.317 Å, b = 9.183 Å, c = 3.155 Å
α = 90.00°, β = 90.00°, γ = 90.00°
Space group Cmmm (No. 65)
Unique sites:
Mg: 0.000 0.000 0.000 (multiplicity 2)
Zr: 0.250 0.250 0.500 (multiplicity 4)
Sc: 0.000 0.500 0.000 (multiplicity 2)

Results
density of states at the Fermi level	1.583	states/eV/atom
uncorrected energy	-6.190	eV per atom

=====

The following is a PBE calculation of a geometry-optimized Mg2ZrSc structure, from Alexandria.

a = 3.352 Å, b = 5.032 Å, c = 5.403 Å
α = 90.00°, β = 90.00°, γ = 90.00°
Space group Pmmm (No. 47)
Unique sites:
Mg: 0.000 0.000 0.000 (multiplicity 1)
Mg: 0.500 0.500 0.000 (multiplicity 1)
Zr: 0.000 0.500 0.500 (multiplicity 1)
Sc: 0.500 0.000 0.500 (multiplicity 1)

Results
density of states at the Fermi level	1.320	states/eV/atom
uncorrected energy	-4.424	eV per atom

=====

The following is a PBE calculation of a geometry-optimized MgZrSc3 structure, from Alexandria.

a = 5.132 Å, b = 5.132 Å, c = 5.132 Å
α = 90.00°, β = 90.00°, γ = 90.00°
Space group Pm-3m (No. 221)
Unique sites:
Mg: 0.000 0.000 0.000 (multiplicity 1)
Zr: 0.500 0.500 0.500 (multiplicity 1)
Sc: 0.000 0.000 0.500 (multiplicity 3)

Results
relative energy among the computed polymorphs	77.97	kJ/mol of atoms
density of states at the Fermi level	2.037	states/eV/atom

=====

The following is a PBE calculation of a geometry-optimized MgZr2Sc structure, from Alexandria.

a = 3.1811 Å, b = 3.1811 Å, c = 32.0150 Å
α = 90.00°, β = 90.00°, γ = 120.00°
Space group R3m (No. 160, hexagonal axes)
Unique sites:
Mg: 0.0000 0.0000 0.0000 (multiplicity 3)
Zr: 0.0000 0.0000 0.5009 (multiplicity 3)
Zr: 0.0000 0.0000 0.7505 (multiplicity 3)
Sc: 0.0000 0.0000 0.2480 (multiplicity 3)

Results
density of states at the Fermi level	1.395	states/eV/atom
uncorrected energy	-6.227	eV per atom

=====

The following is a PBE calculation of a geometry-optimized MgZr2Sc structure, from Alexandria.

a = 3.171 Å, b = 3.171 Å, c = 9.093 Å
α = 90.00°, β = 90.00°, γ = 90.00°
Space group P4/mmm (No. 123)
Unique sites:
Mg: 0.000 0.000 0.000 (multiplicity 1)
Zr: 0.500 0.500 0.252 (multiplicity 2)
Sc: 0.000 0.000 0.500 (multiplicity 1)

Results
density of states at the Fermi level	1.241	states/eV/atom
uncorrected energy	-6.233	eV per atom

=====

The following is a PBE calculation of a geometry-optimized Mg2Zr3Sc4 structure, from Alexandria.

a = 3.2111 Å, b = 3.2111 Å, c = 24.1429 Å
α = 90.00°, β = 90.00°, γ = 120.00°
Space group P3m1 (No. 156)
Unique sites:
Mg: 0.0000 0.0000 0.0000 (multiplicity 1)
Mg: 0.0000 0.0000 0.2212 (multiplicity 1)
Zr: 0.0000 0.0000 0.7813 (multiplicity 1)
Zr: 0.3333 0.6667 0.1118 (multiplicity 1)
Zr: 0.3333 0.6667 0.4529 (multiplicity 1)
Sc: 0.0000 0.0000 0.3494 (multiplicity 1)
Sc: 0.0000 0.0000 0.5620 (multiplicity 1)
Sc: 0.3333 0.6667 0.6730 (multiplicity 1)
Sc: 0.3333 0.6667 0.8870 (multiplicity 1)

Results
density of states at the Fermi level	1.324	states/eV/atom
uncorrected energy	-5.960	eV per atom

=====

The following is a PBE calculation of a geometry-optimized Mg2ZrSc structure, from Alexandria.

a = 3.769 Å, b = 4.730 Å, c = 10.217 Å
α = 90.00°, β = 90.00°, γ = 90.00°
Space group Cmmm (No. 65)
Unique sites:
Mg: 0.000 0.000 0.248 (multiplicity 4)
Zr: 0.000 0.500 0.500 (multiplicity 2)
Sc: 0.000 0.500 0.000 (multiplicity 2)

Results
density of states at the Fermi level	1.076	states/eV/atom
uncorrected energy	-4.452	eV per atom

=====

The following is a PBE calculation of a geometry-optimized Mg2ZrSc structure, from Alexandria.

a = 3.471 Å, b = 3.471 Å, c = 7.460 Å
α = 90.00°, β = 90.00°, γ = 90.00°
Space group P4/mmm (No. 123)
Unique sites:
Mg: 0.000 0.000 0.250 (multiplicity 2)
Zr: 0.500 0.500 0.000 (multiplicity 1)
Sc: 0.500 0.500 0.500 (multiplicity 1)

Results
density of states at the Fermi level	1.095	states/eV/atom
uncorrected energy	-4.492	eV per atom

=====

The following is a PBE calculation of a geometry-optimized Mg2ZrSc structure, from Alexandria.

a = 7.188 Å, b = 7.188 Å, c = 7.188 Å
α = 90.00°, β = 90.00°, γ = 90.00°
Space group F-43m (No. 216)
Unique sites:
Mg: 0.000 0.000 0.000 (multiplicity 4)
Mg: 0.250 0.250 0.250 (multiplicity 4)
Zr: 0.250 0.250 0.750 (multiplicity 4)
Sc: 0.000 0.000 0.500 (multiplicity 4)

Results
density of states at the Fermi level	1.405	states/eV/atom
uncorrected energy	-4.327	eV per atom

=====

The following is a PBE calculation of a geometry-optimized Mg2Zr6Sc structure, from Alexandria.

a = 3.112 Å, b = 9.559 Å, c = 14.023 Å
α = 90.00°, β = 90.00°, γ = 90.00°
Space group Immm (No. 71)
Unique sites:
Mg: 0.000 0.000 0.159 (multiplicity 4)
Zr: 0.000 0.313 0.500 (multiplicity 4)
Zr: 0.000 0.327 0.174 (multiplicity 8)
Sc: 0.000 0.500 0.000 (multiplicity 2)

Results
density of states at the Fermi level	1.418	states/eV/atom
uncorrected energy	-6.639	eV per atom

=====

The following is a PBE calculation of a geometry-optimized MgZr2Sc structure, from Alexandria.

a = 3.1414 Å, b = 3.1414 Å, c = 32.5169 Å
α = 90.00°, β = 90.00°, γ = 120.00°
Space group R3m (No. 160, hexagonal axes)
Unique sites:
Mg: 0.0000 0.0000 0.0000 (multiplicity 3)
Zr: 0.0000 0.0000 0.5827 (multiplicity 3)
Zr: 0.0000 0.0000 0.7503 (multiplicity 3)
Sc: 0.0000 0.0000 0.1665 (multiplicity 3)

Results
density of states at the Fermi level	1.300	states/eV/atom
uncorrected energy	-6.200	eV per atom

=====

The following is a PBE calculation of a geometry-optimized Mg2Zr3Sc8 structure, from Alexandria.

a = 7.230 Å, b = 4.692 Å, c = 9.601 Å
α = 90.00°, β = 102.56°, γ = 90.00°
Space group P2/m (No. 10)
Unique sites:
Mg: 0.187 0.000 0.077 (multiplicity 2)
Zr: 0.225 0.500 0.572 (multiplicity 2)
Zr: 0.500 0.000 0.500 (multiplicity 1)
Sc: 0.052 0.000 0.351 (multiplicity 2)
Sc: 0.133 0.500 0.879 (multiplicity 2)
Sc: 0.345 0.500 0.277 (multiplicity 2)
Sc: 0.386 0.000 0.799 (multiplicity 2)

Results
density of states at the Fermi level	1.628	states/eV/atom
uncorrected energy	-6.021	eV per atom